DFT (PBE-GGA) results for a geometry-optimized Tm10Ga3Pb3 structure.

The structure in POSCAR format:
```
Tm10Ga3Pb3
1.0
8.692 0.000 0.000
-4.346 7.527 0.000
0.000 0.000 6.539
Tm Ga Pb
10 3 3
direct
0.000 0.236 0.000
0.000 0.761 0.500
0.236 0.000 0.000
0.239 0.239 0.500
0.333 0.667 0.263
0.333 0.667 0.737
0.667 0.333 0.263
0.667 0.333 0.737
0.761 0.000 0.500
0.764 0.764 0.000
0.000 0.397 0.500
0.397 0.000 0.500
0.603 0.603 0.500
0.000 0.598 0.000
0.402 0.402 0.000
0.598 0.000 0.000
```

Computed properties:
ΔH_f (0 K): -0.487 eV per atom
Fermi-level density of states: 10.49 states/eV per cell

***

DFT (PBE-GGA) results for a geometry-optimized GdErSb structure.

The structure in POSCAR format:
```
GdErSb
1.0
3.974 0.000 0.000
0.000 3.974 0.000
0.000 0.000 10.660
Gd Er Sb
2 2 2
direct
0.000 0.000 0.000
0.500 0.500 0.500
0.000 0.000 0.307
0.500 0.500 0.807
0.000 0.000 0.660
0.500 0.500 0.160
```

Computed properties:
raw formation energy: -0.657 eV per atom
Fermi-level density of states: 4.30 states/eV per cell

***

DFT (PBE-GGA) results for a geometry-optimized K4Np3ZnS8 structure.

The structure in POSCAR format:
```
K4Np3ZnS8
1.0
4.037 2.331 7.320
-4.037 2.331 7.320
0.000 -4.661 7.320
K Np Zn S
4 3 1 8
direct
0.000 0.000 0.000
0.000 0.500 0.500
0.500 0.000 0.500
0.500 0.500 0.000
0.000 0.000 0.500
0.000 0.500 0.000
0.500 0.000 0.000
0.500 0.500 0.500
0.234 0.234 0.234
0.238 0.729 0.729
0.271 0.271 0.762
0.271 0.762 0.271
0.729 0.238 0.729
0.729 0.729 0.238
0.762 0.271 0.271
0.766 0.766 0.766
```

Computed properties:
raw formation energy: -1.248 eV per atom
Fermi-level density of states: 28.74 states/eV per cell

***

DFT (PBE-GGA) results for a geometry-optimized KSmPuI6 structure.

The structure in POSCAR format:
```
KSmPuI6
1.0
8.025 0.000 0.000
-4.013 6.950 0.000
0.000 0.000 15.837
K Sm Pu I
2 2 2 12
direct
0.000 0.000 0.000
0.000 0.000 0.500
0.333 0.667 0.250
0.667 0.333 0.750
0.333 0.667 0.750
0.667 0.333 0.250
0.008 0.366 0.134
0.008 0.643 0.366
0.357 0.366 0.366
0.357 0.992 0.134
0.366 0.008 0.634
0.366 0.357 0.866
0.634 0.643 0.134
0.634 0.992 0.366
0.643 0.008 0.866
0.643 0.634 0.634
0.992 0.357 0.634
0.992 0.634 0.866
```

Computed properties:
raw formation energy: -1.300 eV per atom
Fermi-level density of states: 39.03 states/eV per cell

***

DFT (PBE-GGA) results for a geometry-optimized TlInBrF structure.

The structure in POSCAR format:
```
TlInBrF
1.0
2.736 1.579 10.678
-2.736 1.579 10.678
0.000 -3.159 10.678
Tl In Br F
2 2 2 2
direct
0.126 0.126 0.126
0.874 0.874 0.874
0.277 0.277 0.277
0.723 0.723 0.723
0.409 0.409 0.409
0.591 0.591 0.591
0.204 0.204 0.204
0.796 0.796 0.796
```

Computed properties:
raw formation energy: -1.173 eV per atom
Fermi-level density of states: 0.00 states/eV per cell

***

DFT (PBE-GGA) results for a geometry-optimized RbNbS2 structure.

The structure in POSCAR format:
```
RbNbS2
1.0
16.472 0.000 0.000
0.000 4.117 0.000
-3.147 0.000 6.937
Rb Nb S
4 4 8
direct
0.137 0.000 0.115
0.363 0.500 0.885
0.637 0.500 0.115
0.863 0.000 0.885
0.090 0.500 0.578
0.410 0.000 0.422
0.590 0.000 0.578
0.910 0.500 0.422
0.003 0.500 0.242
0.172 0.000 0.684
0.328 0.500 0.316
0.497 0.000 0.758
0.503 0.000 0.242
0.672 0.500 0.684
0.828 0.000 0.316
0.997 0.500 0.758
```

Computed properties:
raw formation energy: -0.974 eV per atom
Fermi-level density of states: 6.49 states/eV per cell

***

Calculated total magnetization, 0.0; 8.1; 11.0; 6.0; 0.0; 0.0 μB/f.u. (same order as the records).